No. 1
DFT (PBE) results for a relaxed structure of Li2Zn2Te.

**Crystal system**: tetragonal
**ΔE_f (raw)**: -0.21 eV/atom
**Space group**: P4/mbm

Unit cell a=7.121 b=7.121 c=4.020 alpha=90.00 beta=90.00 gamma=90.00
Sites, in units of the cell vectors:
1 Li 0.669 0.831 0.500
2 Zn 0.879 0.621 0.000
3 Zn 0.379 0.879 0.000
4 Te 0.500 0.500 0.000
5 Li 0.831 0.331 0.500
6 Te 0.000 0.000 0.000
7 Li 0.331 0.169 0.500
8 Zn 0.621 0.121 0.000
9 Zn 0.121 0.379 0.000
10 Li 0.169 0.669 0.500


No. 2
DFT (PBE) results for a relaxed structure of Rb4Ac3YS8.

**Crystal system**: trigonal
**ΔE_f (raw)**: -1.86 eV/atom
**Space group**: R-3m

Unit cell a=8.741 b=9.235 c=8.741 alpha=118.25 beta=120.00 gamma=90.00
Sites, in units of the cell vectors:
1 Ac 0.000 0.500 0.500
2 S 0.224 0.698 0.974
3 Rb 0.000 0.000 0.500
4 S 0.749 0.698 0.974
5 S 0.776 0.302 0.551
6 Rb 0.000 0.000 0.000
7 S 0.224 0.698 0.449
8 Ac 0.500 0.500 0.000
9 S 0.776 0.302 0.026
10 S 0.265 0.294 0.529
11 Rb 0.500 0.000 0.500
12 S 0.735 0.706 0.471
13 Ac 0.500 0.500 0.500
14 Y 0.000 0.500 0.000
15 S 0.251 0.302 0.026
16 Rb 0.500 0.000 0.000


No. 3
DFT (PBE) results for a relaxed structure of KNbIn2Pd.

**Crystal system**: tetragonal
**Formation enthalpy at 0 K**: 0.48 eV per atom
**Space group**: P4/mmm

Unit cell a=5.247 b=5.225 c=5.247 alpha=90.00 beta=90.00 gamma=90.00
Each line ends with the local moment (μB).
Sites, in units of the cell vectors:
1 Nb 0.000 0.500 0.000  2.10
2 Pd 0.000 0.000 0.000  0.06
3 In 0.000 0.000 0.500  -0.04
4 K 0.500 0.500 0.500  0.02
5 In 0.500 0.000 0.000  -0.02


No. 4
DFT (PBE) results for a relaxed structure of Tb3HoTl3.

**Crystal system**: hexagonal
**Formation enthalpy at 0 K**: -0.21 eV per atom
**Space group**: P6_3/m

Unit cell a=5.248 b=9.422 c=9.422 alpha=120.00 beta=90.00 gamma=90.00
Sites, in units of the cell vectors:
1 Tl 0.750 0.929 0.550
2 Ho 0.250 0.667 0.333
3 Tl 0.750 0.621 0.071
4 Tl 0.250 0.379 0.929
5 Tb 0.250 0.766 0.002
6 Tb 0.250 0.998 0.764
7 Tb 0.750 0.002 0.236
8 Ho 0.750 0.333 0.667
9 Tb 0.750 0.764 0.766
10 Tb 0.750 0.234 0.998
11 Tb 0.250 0.236 0.234
12 Tl 0.250 0.071 0.450
13 Tl 0.250 0.550 0.621
14 Tl 0.750 0.450 0.379


No. 5
DFT (PBE) results for a relaxed structure of Ni5Rh.

**Crystal system**: orthorhombic
**Formation enthalpy at 0 K**: 0.02 eV per atom
**Space group**: Pmmn

Unit cell a=3.581 b=5.098 c=7.617 alpha=90.00 beta=90.00 gamma=90.00
Each line ends with the local moment (μB).
Sites, in units of the cell vectors:
1 Ni 0.750 0.120 0.918  0.77
2 Ni 0.750 0.125 0.250  0.81
3 Ni 0.250 0.370 0.082  0.79
4 Rh 0.750 0.625 0.250  0.88
5 Ni 0.750 0.120 0.582  0.77
6 Ni 0.250 0.875 0.750  0.81
7 Ni 0.750 0.630 0.582  0.79
8 Ni 0.750 0.630 0.918  0.79
9 Rh 0.250 0.375 0.750  0.88
10 Ni 0.250 0.880 0.082  0.77
11 Ni 0.250 0.370 0.418  0.79
12 Ni 0.250 0.880 0.418  0.77


No. 6
DFT (PBE) results for a relaxed structure of BaCd2Pt.

**Crystal system**: monoclinic
**Formation enthalpy at 0 K**: -0.41 eV per atom
**Space group**: C2/m

Unit cell a=4.800 b=4.800 c=6.358 alpha=68.59 beta=68.59 gamma=59.45
Sites, in units of the cell vectors:
1 Cd 0.452 0.452 0.642
2 Cd 0.048 0.048 0.858
3 Ba 0.250 0.250 0.250
4 Pt 0.750 0.750 0.750


No. 7
DFT (PBE) results for a relaxed structure of Pm4SmHo2Sc.

**Crystal system**: monoclinic
**Formation enthalpy at 0 K**: 0.03 eV per atom
**Space group**: P2/m

Unit cell a=3.586 b=11.760 c=6.173 alpha=79.76 beta=90.00 gamma=90.00
Sites, in units of the cell vectors:
1 Pm 0.500 0.255 0.746
2 Pm 0.000 0.249 0.252
3 Pm 0.000 0.751 0.748
4 Pm 0.500 0.745 0.254
5 Sm 0.500 0.500 0.000
6 Ho 0.500 0.000 0.500
7 Ho 0.000 0.000 0.000
8 Sc 0.000 0.500 0.500


No. 8
DFT (PBE) results for a relaxed structure of TiAlVTcRh.

**Crystal system**: monoclinic
**Formation enthalpy at 0 K**: -0.43 eV per atom
**Space group**: Cm

Unit cell a=6.829 b=3.115 c=9.457 alpha=90.00 beta=133.56 gamma=90.00
Sites, in units of the cell vectors:
1 Al 0.733 0.500 0.311
2 V 0.346 0.500 0.732
3 Rh 0.136 0.000 0.433
4 Rh 0.136 0.500 0.933
5 Al 0.733 0.000 0.811
6 Tc 0.542 0.000 0.002
7 Ti 0.947 0.500 0.134
8 Tc 0.542 0.500 0.502
9 Ti 0.947 0.000 0.634
10 V 0.346 0.000 0.232


No. 9
DFT (PBE) results for a relaxed structure of AlFeSbMo2.

**Crystal system**: tetragonal
**ΔE_f (raw)**: 2.33 eV/atom
**Space group**: P4/mmm

Unit cell a=4.945 b=4.885 c=4.945 alpha=90.00 beta=90.00 gamma=90.00
Each line ends with the local moment (μB).
Sites, in units of the cell vectors:
1 Sb 0.000 0.000 0.000  -0.05
2 Mo 0.000 0.000 0.500  1.28
3 Mo 0.500 0.000 0.000  1.31
4 Fe 0.500 0.500 0.500  -0.04
5 Al 0.000 0.500 0.000  -0.02


No. 10
DFT (PBE) results for a relaxed structure of Sc12Sn6Au.

**Crystal system**: trigonal
**Formation enthalpy at 0 K**: -0.32 eV per atom
**Space group**: R-3

Unit cell a=8.218 b=8.218 c=8.218 alpha=100.48 beta=100.48 gamma=100.48
Sites, in units of the cell vectors:
1 Sn 0.372 0.686 0.878
2 Sc 0.581 0.444 0.802
3 Au 0.000 0.000 0.000
4 Sc 0.963 0.318 0.050
5 Sn 0.314 0.122 0.628
6 Sc 0.802 0.581 0.444
7 Sc 0.556 0.198 0.419
8 Sc 0.950 0.037 0.682
9 Sn 0.686 0.878 0.372
10 Sc 0.682 0.950 0.037
11 Sc 0.050 0.963 0.318
12 Sn 0.628 0.314 0.122
13 Sn 0.878 0.372 0.686
14 Sc 0.444 0.802 0.581
15 Sc 0.419 0.556 0.198
16 Sc 0.198 0.419 0.556
17 Sc 0.037 0.682 0.950
18 Sn 0.122 0.628 0.314
19 Sc 0.318 0.050 0.963


No. 11
DFT (PBE) results for a relaxed structure of CeDy3Zr2P6.

**Crystal system**: monoclinic
**Formation enthalpy at 0 K**: -1.51 eV per atom
**Space group**: C2/m

Unit cell a=6.789 b=6.789 c=6.803 alpha=99.61 beta=99.61 gamma=119.97
Sites, in units of the cell vectors:
1 Dy 0.500 0.500 0.500
2 Zr 0.333 0.667 0.000
3 P 0.737 0.737 0.239
4 Dy 0.836 0.164 0.500
5 P 0.263 0.263 0.761
6 P 0.423 0.080 0.241
7 P 0.080 0.423 0.241
8 Zr 0.667 0.333 0.000
9 P 0.920 0.577 0.759
10 Dy 0.164 0.836 0.500
11 P 0.577 0.920 0.759
12 Ce 0.000 0.000 0.000


No. 12
DFT (PBE) results for a relaxed structure of CsRb2TiBr6.

**Crystal system**: orthorhombic
**ΔE_f (raw)**: -1.52 eV/atom
**Space group**: Pmmn

Unit cell a=7.680 b=9.685 c=11.811 alpha=90.00 beta=90.00 gamma=90.00
Each line ends with the local moment (μB).
Sites, in units of the cell vectors:
1 Ti 0.000 0.821 0.000  0.91
2 Br 0.500 0.185 0.722  -0.01
3 Br 0.755 0.637 0.000  -0.01
4 Br 0.268 0.981 0.500  -0.01
5 Br 0.768 0.019 0.000  -0.01
6 Rb 0.000 0.158 0.698  0.00
7 Br 0.232 0.019 0.000  -0.01
8 Br 0.255 0.363 0.500  -0.01
9 Ti 0.500 0.179 0.500  0.91
10 Br 0.500 0.185 0.278  -0.01
11 Rb 0.500 0.842 0.802  0.00
12 Rb 0.500 0.842 0.198  0.00
13 Br 0.245 0.637 0.000  -0.01
14 Rb 0.000 0.158 0.302  0.00
15 Br 0.000 0.815 0.778  -0.01
16 Br 0.000 0.815 0.222  -0.01
17 Cs 0.000 0.671 0.500  0.00
18 Br 0.745 0.363 0.500  -0.01
19 Cs 0.500 0.329 0.000  0.00
20 Br 0.732 0.981 0.500  -0.01


What did the seventh record say?
DFT (PBE) results for a relaxed structure of Pm4SmHo2Sc.

**Crystal system**: monoclinic
**Formation enthalpy at 0 K**: 0.03 eV per atom
**Space group**: P2/m

Unit cell a=3.586 b=11.760 c=6.173 alpha=79.76 beta=90.00 gamma=90.00
Sites, in units of the cell vectors:
1 Pm 0.500 0.255 0.746
2 Pm 0.000 0.249 0.252
3 Pm 0.000 0.751 0.748
4 Pm 0.500 0.745 0.254
5 Sm 0.500 0.500 0.000
6 Ho 0.500 0.000 0.500
7 Ho 0.000 0.000 0.000
8 Sc 0.000 0.500 0.500